CeTmHg4 | Alexandria via LeMat-Bulk | PBE | optimized geometry; relative energy among the computed polymorphs = 31.6 meV/atom; space-group type = No. 12
1.0
5.2871 -1.9264 0.0000
5.2871 1.9264 0.0000
-2.8986 0.0000 7.5636
Ce Tm Hg
1 1 4
Direct
0.0000 0.0000 0.0000
0.0000 0.0000 0.5000
0.3318 0.3318 0.6544
0.3332 0.3332 0.1821
0.6668 0.6668 0.8179
0.6682 0.6682 0.3456

---

CeTm2Hg | Alexandria via LeMat-Bulk | PBE | optimized geometry; relative energy among the computed polymorphs = 0.0 meV/atom; space-group type = No. 123
1.0
3.5514 0.0000 0.0000
0.0000 3.5514 0.0000
0.0000 0.0000 8.6233
Ce Tm Hg
1 2 1
Direct
0.0000 0.0000 0.0000
0.5000 0.5000 0.2728
0.5000 0.5000 0.7272
0.0000 0.0000 0.5000

---

Ce2TmHg | Alexandria via LeMat-Bulk | PBE | optimized geometry; relative energy among the computed polymorphs = 0.0 meV/atom; space-group type = No. 123
1.0
4.4521 0.0000 0.0000
0.0000 4.4521 0.0000
0.0000 0.0000 5.2986
Ce Tm Hg
2 1 1
Direct
0.0000 0.5000 0.0000
0.5000 0.0000 0.0000
0.0000 0.0000 0.5000
0.5000 0.5000 0.5000

---

Ce3TmHg12 | Alexandria via LeMat-Bulk | PBE | optimized geometry; space-group type = No. 123
1.0
4.7332 0.0000 0.0000
0.0000 4.7332 0.0000
0.0000 0.0000 18.5799
Ce Tm Hg
3 1 12
Direct
0.0000 0.0000 0.0000
0.0000 0.0000 0.2570
0.0000 0.0000 0.7430
0.0000 0.0000 0.5000
0.0000 0.5000 0.1281
0.0000 0.5000 0.3820
0.0000 0.5000 0.6180
0.0000 0.5000 0.8719
0.5000 0.0000 0.1281
0.5000 0.0000 0.3820
0.5000 0.0000 0.6180
0.5000 0.0000 0.8719
0.5000 0.5000 0.0000
0.5000 0.5000 0.2568
0.5000 0.5000 0.5000
0.5000 0.5000 0.7432

---

| no. | DFT total energy (eV/atom) | ΔH_f (0 K) (kcal/mol of atoms) | V (Å³ per atom) |
| --- | --- | --- | --- |
| 1 | -2.23 | -6.75 | 25.68 |
| 2 | -3.99 | -4.49 | 27.19 |
| 3 | -4.28 | -2.78 | 26.26 |
| 4 | -1.87 | -5.69 | 26.02 |